# PBE Pm2PrHo3, relaxed
# ρ ... 7.601 g cm⁻³
# E_form ... 0.212 eV/atom
# Uncorrected energy ... -106.97 eV per cell
# ΔE to the lowest computed polymorph ... 90 meV per atom
data_Pm2PrHo3
_chemical_formula_sum 'Pm8 Pr4 Ho12'
_cell_length_a 9.544
_cell_length_b 13.234
_cell_length_c 6.405
_cell_angle_alpha 90.00
_cell_angle_beta 90.00
_cell_angle_gamma 90.00
_space_group_name_H-M_alt 'C m c 21'
_space_group_IT_number 36
_space_group_name_Hall 'C 2c -2'
loop_
_atom_site_label
_atom_site_type_symbol
_atom_site_fract_x
_atom_site_fract_y
_atom_site_fract_z
_atom_site_occupancy
Pm1 Pm 0.181 0.058 0.000 1
Pr1 Pr 0.000 0.325 0.777 1
Ho1 Ho 0.000 0.417 0.252 1
Ho2 Ho 0.182 0.195 0.455 1